Material: TeRh4
Method: DFT, PBE
State: relaxed

a = 7.120 Å, b = 7.120 Å, c = 7.120 Å
α = 150.67°, β = 150.67°, γ = 41.96°
Site moments in Bohr magnetons follow the coordinates.
Atoms (fractional coordinates):
Te (0.000, 0.000, 0.000)  -0.01
Rh (0.750, 0.250, 0.500)  0.47
Rh (0.250, 0.750, 0.500)  0.47
Rh (0.602, 0.602, 0.000)  0.33
Rh (0.398, 0.398, 0.000)  0.33

The value obtained for the density of states at the Fermi level is 7.98 states/eV/cell. The value obtained for the energy above the most stable polymorph in this dataset is 262 meV/atom. The value obtained for the magnetic moment is 1.6 μB per formula unit. The calculation puts the total energy at -31.2 eV for the cell shown. For the formation energy from raw total energies, the calculation gives 0.275 eV/atom. The crystal system is tetragonal.